Entry 1:
# LaPr2Co2 PBE relaxed
data_LaPr2Co2
_chemical_formula_sum 'La2 Pr4 Co4'
_symmetry_space_group_name_H-M 'P 1'
_symmetry_Int_Tables_number 1
_symmetry_space_group_name_Hall 'P 1'
_cell_length_a 11.621
_cell_length_b 3.825
_cell_length_c 6.009
_cell_angle_alpha 90.00
_cell_angle_beta 107.22
_cell_angle_gamma 90.00
loop_
_atom_site_label
_atom_site_fract_x
_atom_site_fract_y
_atom_site_fract_z
_atom_site_occupancy
La1 0.000 0.000 0.000 1
La2 0.500 0.500 0.000 1
Pr1 0.150 0.500 0.595 1
Pr2 0.350 0.000 0.405 1
Pr3 0.650 0.000 0.595 1
Pr4 0.850 0.500 0.405 1
Co1 0.223 0.500 0.098 1
Co2 0.277 0.000 0.902 1
Co3 0.723 0.000 0.098 1
Co4 0.777 0.500 0.902 1
# N(E_F) = 1.15 states/eV/atom
# ΔE_f = 0.06 eV/atom
# Space-group type = C2/m
# Polymorph energy (0 for the lowest one) = 6.87 kJ/mol of atoms


Entry 2:
# YCu2F PBE relaxed
data_YCu2F
_chemical_formula_sum 'Y4 Cu8 F4'
_symmetry_space_group_name_H-M 'P 1'
_symmetry_Int_Tables_number 1
_symmetry_space_group_name_Hall 'P 1'
_cell_length_a 6.512
_cell_length_b 6.512
_cell_length_c 6.512
_cell_angle_alpha 90.00
_cell_angle_beta 90.00
_cell_angle_gamma 90.00
loop_
_atom_site_label
_atom_site_fract_x
_atom_site_fract_y
_atom_site_fract_z
_atom_site_occupancy
Y1 0.000 0.000 0.000 1
Y2 0.000 0.500 0.500 1
Y3 0.500 0.000 0.500 1
Y4 0.500 0.500 0.000 1
Cu1 0.250 0.250 0.250 1
Cu2 0.250 0.250 0.750 1
Cu3 0.250 0.750 0.250 1
Cu4 0.250 0.750 0.750 1
Cu5 0.750 0.250 0.250 1
Cu6 0.750 0.250 0.750 1
Cu7 0.750 0.750 0.250 1
Cu8 0.750 0.750 0.750 1
F1 0.000 0.000 0.500 1
F2 0.000 0.500 0.000 1
F3 0.500 0.000 0.000 1
F4 0.500 0.500 0.500 1
# N(E_F) = 0.05 states/eV/atom
# Space-group type = Fm-3m
# Polymorph energy (0 for the lowest one) = 59.41 kJ/mol of atoms


Entry 3:
# RbNp2RhS4 PBE relaxed
data_RbNp2RhS4
_chemical_formula_sum 'Rb2 Np4 Rh2 S8'
_symmetry_space_group_name_H-M 'P 1'
_symmetry_Int_Tables_number 1
_symmetry_space_group_name_Hall 'P 1'
_cell_length_a 7.182
_cell_length_b 7.182
_cell_length_c 13.739
_cell_angle_alpha 90.00
_cell_angle_beta 90.00
_cell_angle_gamma 148.33
loop_
_atom_site_label
_atom_site_fract_x
_atom_site_fract_y
_atom_site_fract_z
_atom_site_occupancy
Rb1 0.105 0.895 0.750 1
Rb2 0.895 0.105 0.250 1
Np1 0.366 0.634 0.562 1
Np2 0.366 0.634 0.938 1
Np3 0.634 0.366 0.062 1
Np4 0.634 0.366 0.438 1
Rh1 0.168 0.832 0.250 1
Rh2 0.832 0.168 0.750 1
S1 0.000 0.000 0.000 1
S2 0.000 0.000 0.500 1
S3 0.262 0.738 0.104 1
S4 0.262 0.738 0.396 1
S5 0.424 0.576 0.750 1
S6 0.576 0.424 0.250 1
S7 0.738 0.262 0.604 1
S8 0.738 0.262 0.896 1
# N(E_F) = 2.26 states/eV/atom
# Energy = -7.544 eV/atom
# Space-group type = Cmcm


Entry 4:
# KRbO6 PBE relaxed
data_KRbO6
_chemical_formula_sum 'K1 Rb1 O6'
_symmetry_space_group_name_H-M 'P 1'
_symmetry_Int_Tables_number 1
_symmetry_space_group_name_Hall 'P 1'
_cell_length_a 4.980
_cell_length_b 4.991
_cell_length_c 6.615
_cell_angle_alpha 86.64
_cell_angle_beta 86.63
_cell_angle_gamma 69.51
loop_
_atom_site_label
_atom_site_fract_x
_atom_site_fract_y
_atom_site_fract_z
_atom_site_occupancy
K1 0.000 0.000 0.000 1
Rb1 0.500 0.500 0.500 1
O1 0.051 0.051 0.573 1
O2 0.335 0.334 0.108 1
O3 0.341 0.341 0.911 1
O4 0.659 0.659 0.089 1
O5 0.665 0.666 0.892 1
O6 0.949 0.949 0.427 1
# N(E_F) = 0.31 states/eV/atom
# Energy = -4.641 eV/atom
# Space-group type = P-1


Entry 5:
# Fe2CoRu PBE relaxed
data_Fe2CoRu
_chemical_formula_sum 'Fe4 Co2 Ru2'
_symmetry_space_group_name_H-M 'P 1'
_symmetry_Int_Tables_number 1
_symmetry_space_group_name_Hall 'P 1'
_cell_length_a 3.590
_cell_length_b 3.590
_cell_length_c 7.260
_cell_angle_alpha 90.00
_cell_angle_beta 90.00
_cell_angle_gamma 90.00
loop_
_atom_site_label
_atom_site_fract_x
_atom_site_fract_y
_atom_site_fract_z
_atom_site_occupancy
Fe1 0.000 0.000 0.000 1
Fe2 0.000 0.500 0.250 1
Fe3 0.500 0.000 0.750 1
Fe4 0.500 0.500 0.500 1
Co1 0.000 0.000 0.500 1
Co2 0.500 0.500 0.000 1
Ru1 0.000 0.500 0.750 1
Ru2 0.500 0.000 0.250 1
# N(E_F) = 1.13 states/eV/atom
# ΔE_f = 0.13 eV/atom
# Space-group type = I-4m2


Entry 6:
# HgRuW2 PBE relaxed
data_HgRuW2
_chemical_formula_sum 'Hg2 Ru2 W4'
_symmetry_space_group_name_H-M 'P 1'
_symmetry_Int_Tables_number 1
_symmetry_space_group_name_Hall 'P 1'
_cell_length_a 3.890
_cell_length_b 3.890
_cell_length_c 8.639
_cell_angle_alpha 90.00
_cell_angle_beta 90.00
_cell_angle_gamma 90.00
loop_
_atom_site_label
_atom_site_fract_x
_atom_site_fract_y
_atom_site_fract_z
_atom_site_occupancy
Hg1 0.000 0.000 0.000 1
Hg2 0.500 0.500 0.500 1
Ru1 0.000 0.000 0.500 1
Ru2 0.500 0.500 0.000 1
W1 0.000 0.500 0.250 1
W2 0.000 0.500 0.750 1
W3 0.500 0.000 0.250 1
W4 0.500 0.000 0.750 1
# N(E_F) = 1.40 states/eV/atom
# ΔE_f = 0.59 eV/atom
# Space-group type = I4/mmm
# Polymorph energy (0 for the lowest one) = 17.20 kJ/mol of atoms


Entry 7:
# SrLaBiO PBE relaxed
data_SrLaBiO
_chemical_formula_sum 'Sr2 La2 Bi2 O2'
_symmetry_space_group_name_H-M 'P 1'
_symmetry_Int_Tables_number 1
_symmetry_space_group_name_Hall 'P 1'
_cell_length_a 4.690
_cell_length_b 4.690
_cell_length_c 13.909
_cell_angle_alpha 90.00
_cell_angle_beta 90.00
_cell_angle_gamma 120.00
loop_
_atom_site_label
_atom_site_fract_x
_atom_site_fract_y
_atom_site_fract_z
_atom_site_occupancy
Sr1 0.333 0.667 0.000 1
Sr2 0.667 0.333 0.500 1
La1 0.000 0.000 0.225 1
La2 0.000 0.000 0.725 1
Bi1 0.333 0.667 0.346 1
Bi2 0.667 0.333 0.846 1
O1 0.000 0.000 0.074 1
O2 0.000 0.000 0.574 1
# Energy = -5.541 eV/atom
# Space-group type = P6_3mc


Entry 8:
# Ba2MnSi PBE relaxed
data_Ba2MnSi
_chemical_formula_sum 'Ba4 Mn2 Si2'
_symmetry_space_group_name_H-M 'P 1'
_symmetry_Int_Tables_number 1
_symmetry_space_group_name_Hall 'P 1'
_cell_length_a 4.571
_cell_length_b 5.089
_cell_length_c 11.874
_cell_angle_alpha 90.00
_cell_angle_beta 90.00
_cell_angle_gamma 90.00
loop_
_atom_site_label
_atom_site_fract_x
_atom_site_fract_y
_atom_site_fract_z
_atom_site_occupancy
Ba1 0.000 0.000 0.000 1
Ba2 0.000 0.500 0.500 1
Ba3 0.500 0.000 0.290 1
Ba4 0.500 0.500 0.790 1
Mn1 0.000 0.000 0.677 1
Mn2 0.000 0.500 0.177 1
Si1 0.500 0.000 0.602 1
Si2 0.500 0.500 0.102 1
# N(E_F) = 0.67 states/eV/atom
# Energy = -4.610 eV/atom
# Space-group type = Amm2